(1)
Here is an optimized crystal structure of La7Pt4Rh from the Alexandria database. Energies are from PBE.

Geometry as extended XYZ:
```
12
Lattice="6.976 -2.070 0.000 6.976 2.070 0.000 -3.228 0.000 12.236" Properties=species:S:1:pos:R:3 pbc="T T T"
La 0.000 0.000 0.000
La 0.247 0.000 10.467
La 2.758 0.000 5.114
La 6.360 0.000 3.413
La 6.473 0.000 7.176
La 10.072 0.000 1.721
La 10.478 0.000 8.425
Pt 1.502 0.000 7.799
Pt 5.003 0.000 0.782
Pt 5.148 0.000 10.047
Pt 11.826 0.000 5.555
Rh 1.293 0.000 2.600
```

The energy relative to the elements is -955 meV per atom. As for the volume: 353 Å³/f.u. For the spin magnetization, the calculation gives 0.000 μB/f.u. As for the space group: No. 8.

***

(2)
Here is an optimized crystal structure of ReRh from the Alexandria database. Energies are from PBE.

Geometry as extended XYZ:
```
6
Lattice="3.892 0.000 0.000 0.000 1.941 5.776 0.000 -1.941 5.776" Properties=species:S:1:pos:R:3 pbc="T T T"
Re 0.000 0.000 0.000
Re 0.000 0.000 3.948
Re 1.946 0.000 9.677
Rh 0.000 0.000 7.772
Rh 1.946 0.000 2.019
Rh 1.946 0.000 5.813
```

The energy relative to the elements is -69 meV per atom. As for the volume: 29 Å³/f.u. For the spin magnetization, the calculation gives 0.000 μB/f.u. As for the space group: No. 38. For the energy above the most stable polymorph in this dataset, the calculation gives 108 meV per atom.

***

(3)
Here is an optimized crystal structure of RbHgSbI6 from the Alexandria database. Energies are from PBE.

Geometry as extended XYZ:
```
9
Lattice="7.908 0.000 0.000 -3.954 6.848 0.000 0.000 0.000 8.167" Properties=species:S:1:pos:R:3 pbc="T T T"
Rb 0.000 0.000 0.000
Hg 3.954 2.283 4.083
Sb 0.000 4.566 4.083
I -1.464 2.560 5.865
I -2.469 4.300 2.302
I 1.464 2.560 2.302
I -1.004 6.836 5.865
I 2.469 4.300 5.865
I 1.004 6.836 2.302
```

As for the volume: 442 Å³/f.u. For the spin magnetization, the calculation gives 0.000 μB/f.u. As for the space group: No. 149. As for the raw formation energy: -541 meV/atom.

***

(4)
Here is an optimized crystal structure of NiTeAs2 from the Alexandria database. Energies are from PBE.

Geometry as extended XYZ:
```
4
Lattice="3.298 -1.890 0.000 3.298 1.890 0.000 -2.207 0.000 6.315" Properties=species:S:1:pos:R:3 pbc="T T T"
Ni 0.000 0.000 0.000
Te 2.195 0.000 3.158
As -0.010 0.000 5.188
As 4.399 0.000 1.127
```

As for the volume: 79 Å³/f.u. For the spin magnetization, the calculation gives 0.000 μB/f.u. As for the space group: No. 12. As for the raw formation energy: 41 meV/atom.

***

> spin magnetization of number 2 (ReRh)?

0.000 μB/f.u.